# 1
The following is a DFT calculation (GGA-PBE) of a geometry-optimized GdDy2Cu4Sn2Ge2 structure.

POSCAR file:
```
GdDy2Cu4Sn2Ge2
1.0
-2.149 3.475 7.158
2.149 -3.475 7.158
2.149 3.475 -7.158
Gd Dy Sn Cu Ge
1 2 2 4 2
direct
0.000 0.000 0.000
0.365 0.865 0.500
0.635 0.135 0.500
0.299 0.500 0.799
0.701 0.500 0.201
0.635 0.323 0.312
0.989 0.677 0.312
0.011 0.323 0.688
0.365 0.677 0.688
0.217 0.217 0.000
0.783 0.783 0.000
```

Raw total energy (eV/atom): -4.7091
Magnetic moment (μB/cell): 0.00

***

# 2
The following is a DFT calculation (GGA-PBE) of a geometry-optimized GdDyInCu2 structure.

POSCAR file:
```
GdDyInCu2
1.0
3.609 0.000 0.000
0.000 2.145 7.012
0.000 -2.145 7.012
Cu In Gd Dy
2 1 1 1
direct
0.500 0.798 0.798
0.500 0.201 0.201
0.500 0.001 0.001
0.000 0.367 0.367
0.000 0.634 0.634
```

Raw total energy (eV/atom): -4.2639
Magnetic moment (μB/cell): 0.00

***

# 3
The following is a DFT calculation (GGA-PBE) of a geometry-optimized GdDy2In3Cu2Ni structure.

POSCAR file:
```
GdDy2In3Cu2Ni
1.0
-1.982 -2.850 1.771
2.961 -4.981 -4.704
3.462 1.582 6.420
Cu In Ni Gd Dy
2 3 1 1 2
direct
0.500 0.332 0.667
0.500 0.667 0.332
0.500 0.001 0.749
0.500 0.251 0.251
0.500 0.749 0.001
0.000 0.002 0.002
0.000 0.592 0.592
0.000 0.000 0.407
0.000 0.407 0.000
```

Raw total energy (eV/atom): -4.3419
Magnetic moment (μB/cell): 0.01

***

# 4
The following is a DFT calculation (GGA-PBE) of a geometry-optimized Gd2DyIn3Cu2Pt structure.

POSCAR file:
```
Gd2DyIn3Cu2Pt
1.0
3.984 0.000 0.000
0.000 6.548 3.779
0.000 -6.548 3.779
In Pt Gd Dy Cu
3 1 2 1 2
direct
0.500 0.264 0.264
0.500 0.999 0.737
0.500 0.737 0.999
0.000 0.999 0.999
0.000 0.405 0.000
0.000 0.000 0.405
0.000 0.596 0.596
0.500 0.666 0.334
0.500 0.334 0.666
```

Raw total energy (eV/atom): -4.5362
Magnetic moment (μB/cell): 0.00

***

# 5
The following is a DFT calculation (GGA-PBE) of a geometry-optimized GdDyMg2Cu4 structure.

POSCAR file:
```
GdDyMg2Cu4
1.0
4.693 0.000 0.000
0.000 4.693 0.000
0.000 0.000 6.649
Cu Mg Gd Dy
4 2 1 1
direct
0.500 0.000 0.249
0.000 0.500 0.249
0.000 0.500 0.751
0.500 0.000 0.751
0.500 0.500 0.000
0.000 0.000 0.500
0.500 0.500 0.500
0.000 0.000 0.000
```

Raw total energy (eV/atom): -3.6053
Magnetic moment (μB/cell): 0.01

***

# 6
The following is a DFT calculation (GGA-PBE) of a geometry-optimized Gd2DyMg3CuPt2 structure.

POSCAR file:
```
Gd2DyMg3CuPt2
1.0
-1.982 3.024 -1.693
-3.263 -4.789 -4.732
-3.246 1.546 6.561
Cu Mg Gd Pt Dy
1 3 2 2 1
direct
0.000 0.001 0.001
0.500 0.244 0.001
0.500 0.001 0.244
0.500 0.755 0.755
0.000 0.586 0.000
0.000 0.000 0.586
0.500 0.665 0.334
0.500 0.334 0.665
0.000 0.414 0.414
```

Raw total energy (eV/atom): -4.5361
Magnetic moment (μB/cell): 0.01

***

# 7
The following is a DFT calculation (GGA-PBE) of a geometry-optimized GdDyCu2N4 structure.

POSCAR file:
```
GdDyCu2N4
1.0
3.384 0.000 0.000
0.000 3.384 0.000
0.000 0.000 8.318
N Gd Cu Dy
4 1 2 1
direct
0.000 0.000 0.342
0.500 0.000 0.998
0.000 0.500 0.998
0.500 0.500 0.659
0.500 0.500 0.198
0.000 0.500 0.502
0.500 0.000 0.502
0.000 0.000 0.803
```

Raw total energy (eV/atom): -6.3067
Magnetic moment (μB/cell): 0.08

***

# 8
The following is a DFT calculation (GGA-PBE) of a geometry-optimized Gd2DyCu4Pb4 structure.

POSCAR file:
```
Gd2DyCu4Pb4
1.0
-2.297 3.528 7.541
2.297 -3.528 7.541
2.297 3.528 -7.541
Dy Gd Pb Cu
1 2 4 4
direct
0.000 0.000 0.000
0.368 0.868 0.500
0.632 0.132 0.500
0.290 0.500 0.790
0.710 0.500 0.210
0.784 0.784 0.000
0.216 0.216 0.000
0.358 0.671 0.687
0.016 0.329 0.687
0.984 0.671 0.313
0.642 0.329 0.313
```

Raw total energy (eV/atom): -4.2445
Magnetic moment (μB/cell): 0.00

***

# 9
The following is a DFT calculation (GGA-PBE) of a geometry-optimized GdDyTlCu2 structure.

POSCAR file:
```
GdDyTlCu2
1.0
3.629 0.000 0.000
0.000 2.145 7.064
0.000 -2.145 7.064
Gd Cu Dy Tl
1 2 1 1
direct
0.000 0.366 0.366
0.500 0.202 0.202
0.500 0.796 0.796
0.000 0.635 0.635
0.500 0.001 0.001
```

Raw total energy (eV/atom): -4.1291
Magnetic moment (μB/cell): 0.02

***

# 10
The following is a DFT calculation (GGA-PBE) of a geometry-optimized Dy2Cu3Ge5 structure.

POSCAR file:
```
Dy2Cu3Ge5
1.0
-4.785 -2.498 -6.367
1.228 -7.847 2.568
-3.219 3.069 4.004
Dy Cu Ge
4 6 10
direct
0.139 0.391 0.764
0.391 0.139 0.264
0.609 0.861 0.736
0.861 0.609 0.236
0.000 0.000 0.750
0.000 0.000 0.250
0.247 0.531 0.379
0.469 0.753 0.121
0.753 0.469 0.621
0.531 0.247 0.879
0.770 0.230 0.250
0.230 0.770 0.750
0.056 0.262 0.161
0.944 0.738 0.839
0.262 0.056 0.661
0.738 0.944 0.339
0.223 0.777 0.250
0.777 0.223 0.750
0.496 0.504 0.750
0.504 0.496 0.250
```

Raw total energy (eV/atom): -4.7025
Magnetic moment (μB/cell): 0.00

***

# 11
The following is a DFT calculation (GGA-PBE) of a geometry-optimized DyHo2Cu4Ge4 structure.

POSCAR file:
```
DyHo2Cu4Ge4
1.0
-3.966 3.162 6.167
-5.153 6.006 -1.063
2.195 -7.534 -1.480
Cu Dy Ge Ho
4 1 4 2
direct
0.359 0.669 0.690
0.641 0.331 0.310
0.979 0.669 0.310
0.021 0.331 0.690
0.000 0.000 0.000
0.217 0.217 0.000
0.692 0.500 0.192
0.308 0.500 0.808
0.783 0.783 0.000
0.630 0.130 0.500
0.370 0.870 0.500
```

Raw total energy (eV/atom): -4.9165
Magnetic moment (μB/cell): 0.00

***

# 12
The following is a DFT calculation (GGA-PBE) of a geometry-optimized Dy2HoCu4Ge4 structure.

POSCAR file:
```
Dy2HoCu4Ge4
1.0
-0.389 -1.613 7.814
-3.429 5.106 5.098
-0.559 -4.803 -6.359
Ho Cu Ge Dy
1 4 4 2
direct
0.000 0.000 0.000
0.641 0.331 0.310
0.021 0.331 0.690
0.979 0.669 0.310
0.359 0.669 0.690
0.308 0.500 0.808
0.217 0.217 0.000
0.783 0.783 0.000
0.692 0.500 0.192
0.630 0.130 0.500
0.370 0.870 0.500
```

Raw total energy (eV/atom): -4.9179
Magnetic moment (μB/cell): 0.00

***

# 13
The following is a DFT calculation (GGA-PBE) of a geometry-optimized Dy2HoIn3CuGe2 structure.

POSCAR file:
```
Dy2HoIn3CuGe2
1.0
-3.674 -1.387 -1.547
-3.492 2.551 6.005
0.846 4.362 -5.918
In Dy Cu Ge Ho
3 2 1 2 1
direct
0.500 0.243 0.000
0.500 0.000 0.243
0.500 0.757 0.757
0.000 0.596 0.000
0.000 0.000 0.596
0.000 0.001 0.001
0.500 0.333 0.666
0.500 0.666 0.333
0.000 0.404 0.404
```

Raw total energy (eV/atom): -4.4294
Magnetic moment (μB/cell): 0.00

***

# 14
The following is a DFT calculation (GGA-PBE) of a geometry-optimized Dy2Ho2InCu2Ge4 structure.

POSCAR file:
```
Dy2Ho2InCu2Ge4
1.0
-7.232 0.259 3.623
-7.625 -2.654 0.550
4.115 -4.469 3.711
Ho Ge Cu Dy In
2 4 2 2 1
direct
0.348 0.348 0.069
0.652 0.652 0.931
0.063 0.063 0.661
0.801 0.801 0.750
0.937 0.937 0.339
0.199 0.199 0.250
0.217 0.217 0.638
0.783 0.783 0.362
0.410 0.410 0.616
0.590 0.590 0.384
0.000 0.000 0.000
```

Raw total energy (eV/atom): -4.9673
Magnetic moment (μB/cell): 0.00

***

# 15
The following is a DFT calculation (GGA-PBE) of a geometry-optimized Dy2HoCu4Si2Ge2 structure.

POSCAR file:
```
Dy2HoCu4Si2Ge2
1.0
-2.074 3.301 6.924
2.074 -3.301 6.924
2.074 3.301 -6.924
Ho Dy Cu Si Ge
1 2 4 2 2
direct
0.000 0.000 0.000
0.370 0.870 0.500
0.630 0.130 0.500
0.364 0.674 0.690
0.636 0.326 0.310
0.017 0.326 0.690
0.983 0.674 0.310
0.784 0.784 0.000
0.216 0.216 0.000
0.693 0.500 0.193
0.307 0.500 0.807
```

Raw total energy (eV/atom): -5.0720
Magnetic moment (μB/cell): 0.00

***

# 16
The following is a DFT calculation (GGA-PBE) of a geometry-optimized Dy2HoCu4Si2Ge2 structure.

POSCAR file:
```
Dy2HoCu4Si2Ge2
1.0
-2.092 3.295 6.908
2.092 -3.295 6.908
2.092 3.295 -6.908
Cu Dy Ge Ho Si
4 2 2 1 2
direct
0.973 0.663 0.310
0.027 0.337 0.690
0.647 0.337 0.310
0.353 0.663 0.690
0.370 0.870 0.500
0.630 0.130 0.500
0.784 0.784 0.000
0.216 0.216 0.000
0.000 0.000 0.000
0.684 0.500 0.184
0.316 0.500 0.816
```

Raw total energy (eV/atom): -5.0648
Magnetic moment (μB/cell): 0.00

***

# 17
The following is a DFT calculation (GGA-PBE) of a geometry-optimized DyHo2Cu4Sn2Ge2 structure.

POSCAR file:
```
DyHo2Cu4Sn2Ge2
1.0
-2.170 3.351 7.226
2.170 -3.351 7.226
2.170 3.351 -7.226
Dy Sn Ho Ge Cu
1 2 2 2 4
direct
0.000 0.000 0.000
0.782 0.782 0.000
0.218 0.218 0.000
0.625 0.125 0.500
0.375 0.875 0.500
0.690 0.500 0.190
0.310 0.500 0.810
0.349 0.659 0.690
0.651 0.341 0.310
0.970 0.659 0.310
0.030 0.341 0.690
```

Raw total energy (eV/atom): -4.7583
Magnetic moment (μB/cell): 0.00

***

# 18
The following is a DFT calculation (GGA-PBE) of a geometry-optimized DyHo2Cu4Sn2Ge2 structure.

POSCAR file:
```
DyHo2Cu4Sn2Ge2
1.0
-2.140 3.466 7.139
2.140 -3.466 7.139
2.140 3.466 -7.139
Ho Cu Sn Ge Dy
2 4 2 2 1
direct
0.636 0.136 0.500
0.364 0.864 0.500
0.989 0.677 0.312
0.011 0.323 0.688
0.635 0.323 0.312
0.365 0.677 0.688
0.299 0.500 0.799
0.701 0.500 0.201
0.783 0.783 0.000
0.217 0.217 0.000
0.000 0.000 0.000
```

Raw total energy (eV/atom): -4.6939
Magnetic moment (μB/cell): 0.00

***

# 19
The following is a DFT calculation (GGA-PBE) of a geometry-optimized Dy2YIn3CuGe2 structure.

POSCAR file:
```
Dy2YIn3CuGe2
1.0
4.221 0.000 0.000
0.000 6.415 3.702
0.000 -6.415 3.702
Ge Dy In Y Cu
2 2 3 1 1
direct
0.500 0.667 0.333
0.500 0.333 0.667
0.000 0.598 0.000
0.000 0.000 0.598
0.500 0.757 0.757
0.500 0.000 0.243
0.500 0.243 0.000
0.000 0.402 0.402
0.000 0.999 0.999
```

Raw total energy (eV/atom): -4.6489
Magnetic moment (μB/cell): 0.00

***

# 20
The following is a DFT calculation (GGA-PBE) of a geometry-optimized LaDy2Cu4Ge4 structure.

POSCAR file:
```
LaDy2Cu4Ge4
1.0
-3.614 -1.502 7.102
-5.726 4.971 2.874
2.622 -5.096 -5.736
Ge Cu La Dy
4 4 1 2
direct
0.316 0.500 0.816
0.220 0.220 0.000
0.780 0.780 0.000
0.684 0.500 0.184
0.980 0.669 0.310
0.641 0.331 0.310
0.359 0.669 0.690
0.020 0.331 0.690
0.000 0.000 0.000
0.370 0.870 0.500
0.630 0.130 0.500
```

Raw total energy (eV/atom): -4.9367
Magnetic moment (μB/cell): 0.00